1.
Sm5ScTl4 | PBE | optimized geometry

Geometry as CIF:
```
data_Sm5ScTl4
_cell_length_a 3.7096
_cell_length_b 3.7096
_cell_length_c 21.1343
_cell_angle_alpha 90.00
_cell_angle_beta 90.00
_cell_angle_gamma 90.00
_symmetry_space_group_name_H-M 'P 4/m m m'
_symmetry_Int_Tables_number 123
_symmetry_space_group_name_Hall '-P 4 2'
loop_
_atom_site_label
_atom_site_fract_x
_atom_site_fract_y
_atom_site_fract_z
Sm1 0.0000 0.0000 0.0000
Sm2 0.0000 0.0000 0.1997
Sm3 0.0000 0.0000 0.3972
Sc1 0.5000 0.5000 0.5000
Tl1 0.5000 0.5000 0.1000
Tl2 0.5000 0.5000 0.2991
```

Calculated values
N(E_F) = 1.07 states/eV per atom
Calculated total energy = -0.3103 Ry/atom
Volume = 290.84 Å³ per cell
Energy relative to the elements = -0.282 eV/atom

***

2.
Cr2Fe2Rh | PBE | optimized geometry

Geometry as CIF:
```
data_Cr2Fe2Rh
_cell_length_a 6.7504
_cell_length_b 6.7504
_cell_length_c 2.5907
_cell_angle_alpha 90.00
_cell_angle_beta 90.00
_cell_angle_gamma 90.00
_symmetry_space_group_name_H-M 'P 4/m b m'
_symmetry_Int_Tables_number 127
_symmetry_space_group_name_Hall '-P 4 2ab'
loop_
_atom_site_label
_atom_site_fract_x
_atom_site_fract_y
_atom_site_fract_z
Cr1 0.1196 0.3804 0.0000
Fe1 0.1776 0.6776 0.5000
Rh1 0.0000 0.0000 0.0000
```

Calculated values
N(E_F) = 1.02 states/eV per atom
Calculated total energy = -0.6252 Ry/atom
Volume = 118.05 Å³ per cell
Energy relative to the elements = 0.198 eV/atom

***

3.
Nd6Ag3Hg | PBE | optimized geometry

Geometry as CIF:
```
data_Nd6Ag3Hg
_cell_length_a 9.4676
_cell_length_b 5.1441
_cell_length_c 12.3934
_cell_angle_alpha 90.00
_cell_angle_beta 105.32
_cell_angle_gamma 90.00
_symmetry_space_group_name_H-M 'P 1 21/m 1'
_symmetry_Int_Tables_number 11
loop_
_symmetry_equiv_pos_as_xyz
'x,y,z'
'-x,-y,-z'
'-x,y+1/2,-z'
'x,-y+1/2,z'
loop_
_atom_site_label
_atom_site_fract_x
_atom_site_fract_y
_atom_site_fract_z
Nd1 0.0239 0.2500 0.1092
Nd2 0.1500 0.2500 0.7190
Nd3 0.2027 0.7500 0.5161
Nd4 0.3586 0.7500 0.1142
Nd5 0.3784 0.7500 0.8465
Nd6 0.3789 0.2500 0.3605
Ag1 0.0472 0.2500 0.3618
Ag2 0.1633 0.7500 0.2652
Ag3 0.2754 0.2500 0.9734
Hg1 0.4295 0.2500 0.6357
```

Calculated values
N(E_F) = 0.93 states/eV per atom
Calculated total energy = -0.2906 Ry/atom
Volume = 582.14 Å³ per cell
Energy relative to the elements = -0.208 eV/atom